The following is a PBE calculation of a relaxed structure of NaLaGaPb2, from Alexandria.

abc: 5.3758 5.3758 5.6869
angles: 90.00 90.00 90.00
Element x y z (fractional)
Na 0.0000 0.0000 0.0000
La 0.0000 0.0000 0.5000
Ga 0.5000 0.5000 0.5000
Pb 0.0000 0.5000 0.0000
Pb 0.5000 0.0000 0.0000

Output
Space group = P4/mmm (123)
Spin magnetization = 0.00 μB per formula unit
DFT total energy = -14.6 eV/cell



The following is a PBE calculation of a relaxed structure of LiFeCl3, from Alexandria.

abc: 8.8238 8.8238 6.5208
angles: 102.38 102.38 86.49
Element x y z (fractional)
Li 0.1439 0.8561 0.7500
Li 0.2245 0.7755 0.2500
Li 0.7755 0.2245 0.7500
Li 0.8561 0.1439 0.2500
Fe 0.2122 0.3845 0.7143
Fe 0.3845 0.2122 0.2143
Fe 0.6155 0.7878 0.7857
Fe 0.7878 0.6155 0.2857
Cl 0.0185 0.2044 0.6125
Cl 0.1400 0.6219 0.8926
Cl 0.2044 0.0185 0.1125
Cl 0.2852 0.4293 0.4112
Cl 0.3781 0.8600 0.6074
Cl 0.4293 0.2852 0.9112
Cl 0.5707 0.7148 0.0888
Cl 0.6219 0.1400 0.3926
Cl 0.7148 0.5707 0.5888
Cl 0.7956 0.9815 0.8875
Cl 0.8600 0.3781 0.1074
Cl 0.9815 0.7956 0.3875

Output
Relative energy among the computed polymorphs = 9 meV/atom
Space group = C2/c (15)
Spin magnetization = 4.00 μB per formula unit
Energy relative to the elements, uncorrected = -1.1085 eV/atom



The following is a PBE calculation of a relaxed structure of Sr3MgZr, from Alexandria.

abc: 6.0895 6.0895 6.0895
angles: 90.00 90.00 90.00
Element x y z (fractional)
Sr 0.0000 0.0000 0.5000
Sr 0.0000 0.5000 0.0000
Sr 0.5000 0.0000 0.0000
Mg 0.5000 0.5000 0.5000
Zr 0.0000 0.0000 0.0000

Output
Relative energy among the computed polymorphs = 0 meV/atom
Space group = Pm-3m (221)
Spin magnetization = 0.34 μB per formula unit



The following is a PBE calculation of a relaxed structure of BaZnGa2Pt, from Alexandria.

abc: 4.9126 4.9126 4.9842
angles: 90.00 90.00 90.00
Element x y z (fractional)
Ba 0.0000 0.0000 0.0000
Zn 0.5000 0.5000 0.0000
Ga 0.0000 0.5000 0.5000
Ga 0.5000 0.0000 0.5000
Pt 0.5000 0.5000 0.5000

Output
Relative energy among the computed polymorphs = 48 meV/atom
Space group = P4/mmm (123)
Spin magnetization = 0.00 μB per formula unit



The following is a PBE calculation of a relaxed structure of CeHoTl, from Alexandria.

abc: 3.5523 3.5523 14.0294
angles: 90.00 90.00 90.00
Element x y z (fractional)
Ce 0.0000 0.0000 0.0000
Ce 0.5000 0.5000 0.5000
Ho 0.0000 0.0000 0.6852
Ho 0.5000 0.5000 0.1852
Tl 0.0000 0.0000 0.3363
Tl 0.5000 0.5000 0.8363

Output
Relative energy among the computed polymorphs = 90 meV/atom
Space group = I4mm (107)
Spin magnetization = 1.09 μB per formula unit



The following is a PBE calculation of a relaxed structure of BaLaAg3, from Alexandria.

abc: 5.7156 5.7156 5.7156
angles: 90.00 90.00 90.00
Element x y z (fractional)
Ba 0.0000 0.0000 0.0000
La 0.5000 0.5000 0.5000
Ag 0.0000 0.5000 0.5000
Ag 0.5000 0.0000 0.5000
Ag 0.5000 0.5000 0.0000

Output
Relative energy among the computed polymorphs = 448 meV/atom
Space group = Pm-3m (221)
Spin magnetization = 0.00 μB per formula unit